Record 1
Pu3In7Pd4 | PBE | optimized geometry

Computed properties:
* E_tot: -176.7 eV per cell

The structure in CIF format:
```
data_Pu3In7Pd4
_cell_length_a 16.673
_cell_length_b 4.515
_cell_length_c 10.084
_cell_angle_alpha 90.00
_cell_angle_beta 122.87
_cell_angle_gamma 90.00
_symmetry_space_group_name_H-M 'C 1 2/m 1'
_symmetry_Int_Tables_number 12
loop_
_symmetry_equiv_pos_as_xyz
'x,y,z'
'-x,-y,-z'
'-x,y,-z'
'x,-y,z'
'x+1/2,y+1/2,z'
'-x+1/2,-y+1/2,-z'
'-x+1/2,y+1/2,-z'
'x+1/2,-y+1/2,z'
loop_
_atom_site_label
_atom_site_type_symbol
_atom_site_fract_x
_atom_site_fract_y
_atom_site_fract_z
Pu1 Pu 0.000 0.000 0.000
Pu2 Pu 0.189 0.500 0.697
In1 In 0.000 0.000 0.500
In2 In 0.005 0.500 0.288
In3 In 0.162 0.000 0.432
In4 In 0.183 0.500 0.029
Pd1 Pd 0.118 0.000 0.838
Pd2 Pd 0.163 0.500 0.274
```

=====

Record 2
PuInPd2 | PBE | optimized geometry

Computed properties:
* E_tot: -115.9 eV per cell

The structure in CIF format:
```
data_PuInPd2
_cell_length_a 5.188
_cell_length_b 5.250
_cell_length_c 12.019
_cell_angle_alpha 90.00
_cell_angle_beta 90.00
_cell_angle_gamma 90.00
_symmetry_space_group_name_H-M 'P n m a'
_symmetry_Int_Tables_number 62
loop_
_symmetry_equiv_pos_as_xyz
'x,y,z'
'-x,-y,-z'
'-x+1/2,-y,z+1/2'
'x+1/2,y,-z+1/2'
'x+1/2,-y+1/2,-z+1/2'
'-x+1/2,y+1/2,z+1/2'
'-x,y+1/2,-z'
'x,-y+1/2,z'
loop_
_atom_site_label
_atom_site_type_symbol
_atom_site_fract_x
_atom_site_fract_y
_atom_site_fract_z
Pu1 Pu 0.001 0.250 0.166
In1 In 0.001 0.250 0.664
Pd1 Pd 0.001 0.250 0.435
Pd2 Pd 0.001 0.250 0.922
```

=====

Record 3
PuIn3Pd3 | PBE | optimized geometry

Computed properties:
* E_tot: -75.4 eV per cell

The structure in CIF format:
```
data_PuIn3Pd3
_cell_length_a 7.307
_cell_length_b 7.307
_cell_length_c 7.307
_cell_angle_alpha 90.00
_cell_angle_beta 90.00
_cell_angle_gamma 90.00
_symmetry_space_group_name_H-M 'P m -3 n'
_symmetry_Int_Tables_number 223
_symmetry_space_group_name_Hall '-P 4n 2 3'
loop_
_atom_site_label
_atom_site_type_symbol
_atom_site_fract_x
_atom_site_fract_y
_atom_site_fract_z
Pu1 Pu 0.000 0.000 0.000
In1 In 0.000 0.250 0.500
Pd1 Pd 0.000 0.500 0.250
```

=====

Record 4
PuInPd2 | PBE | optimized geometry

Computed properties:
* E_tot: -29.1 eV per cell

The structure in CIF format:
```
data_PuInPd2
_cell_length_a 5.033
_cell_length_b 5.033
_cell_length_c 3.146
_cell_angle_alpha 90.00
_cell_angle_beta 90.00
_cell_angle_gamma 90.00
_symmetry_space_group_name_H-M 'P 4/m m m'
_symmetry_Int_Tables_number 123
_symmetry_space_group_name_Hall '-P 4 2'
loop_
_atom_site_label
_atom_site_type_symbol
_atom_site_fract_x
_atom_site_fract_y
_atom_site_fract_z
Pu1 Pu 0.000 0.000 0.000
In1 In 0.500 0.500 0.000
Pd1 Pd 0.000 0.500 0.500
```

=====

Q: Look up the E_tot of the third one.
A: -75.4 eV per cell